! PBE SrMn2Te, optimized geometry; values from VASP
! - density (kg/m3) = 5378
! - E (eV per atom) = -5.50
! - DOS(E_F) (states/eV/atom) = 0.76
! - spin magnetization (μB per formula unit) = 8.2
&SYSTEM
  ibrav = 0, nat = 4, ntyp = 3
/
ATOMIC_SPECIES
Mn 54.94 Mn.upf
Sr 87.62 Sr.upf
Te 127.60 Te.upf
CELL_PARAMETERS angstrom
3.8756 0.0000 0.0000
0.0000 3.8754 0.0000
0.0000 0.0000 6.6825
ATOMIC_POSITIONS crystal
Mn 0.0000 0.0000 0.9471
Mn 0.0000 0.0000 0.5529
Sr 0.5000 0.5000 0.2500
Te 0.5000 0.5000 0.7500